# 1
Sc2AgBr after structural relaxation, computed with PBE-GGA.

Summary:
Total DFT energy (no corrections), eV per atom: -4.726

Structure (POSCAR):
```
Sc2AgBr
1.0
3.287 -1.899 0.000
3.287 1.899 0.000
-2.199 0.000 7.361
Sc Ag Br
2 1 1
direct
0.243 0.243 0.229
0.757 0.757 0.771
0.500 0.500 0.000
0.000 0.000 0.500
```

=====

# 2
Sc2AgBr after structural relaxation, computed with PBE-GGA.

Summary:
Total DFT energy (no corrections), eV per atom: -4.617

Structure (POSCAR):
```
Sc2AgBr
1.0
3.203 0.000 0.000
0.000 5.121 0.000
0.000 0.000 5.132
Sc Ag Br
2 1 1
direct
0.000 0.000 0.000
0.000 0.500 0.500
0.500 0.000 0.500
0.500 0.500 0.000
```

=====

# 3
Sc4AgBr after structural relaxation, computed with PBE-GGA.

Summary:
Total DFT energy (no corrections), eV per atom: -4.634

Structure (POSCAR):
```
Sc4AgBr
1.0
0.000 4.207 4.207
4.207 0.000 4.207
4.207 4.207 0.000
Sc Ag Br
4 1 1
direct
0.124 0.124 0.124
0.124 0.124 0.629
0.124 0.629 0.124
0.629 0.124 0.124
0.750 0.750 0.750
0.500 0.500 0.500
```

=====

# 4
ScAgBr2 after structural relaxation, computed with PBE-GGA.

Summary:
Total DFT energy (no corrections), eV per atom: -3.986

Structure (POSCAR):
```
ScAgBr2
1.0
3.956 0.000 0.000
0.000 3.618 0.000
-1.924 0.000 8.092
Sc Ag Br
1 1 2
direct
0.000 0.000 0.000
0.422 0.500 0.838
0.117 0.500 0.240
0.840 0.000 0.670
```

=====

# 5
ScAgBr3 after structural relaxation, computed with PBE-GGA.

Summary:
Total DFT energy (no corrections), eV per atom: -3.040

Structure (POSCAR):
```
ScAgBr3
1.0
5.352 0.000 0.000
0.000 5.352 0.000
0.000 0.000 5.352
Sc Ag Br
1 1 3
direct
0.000 0.000 0.000
0.500 0.500 0.500
0.000 0.500 0.500
0.500 0.000 0.500
0.500 0.500 0.000
```

=====

# 6
Sc2AgBr after structural relaxation, computed with PBE-GGA.

Summary:
Total DFT energy (no corrections), eV per atom: -4.497

Structure (POSCAR):
```
Sc2AgBr
1.0
-2.006 2.006 5.509
2.006 -2.006 5.509
2.006 2.006 -5.509
Sc Ag Br
2 1 1
direct
0.000 0.000 0.000
0.750 0.250 0.500
0.250 0.750 0.500
0.500 0.500 0.000
```

=====

# 7
ScAgBr2 after structural relaxation, computed with PBE-GGA.

Summary:
Total DFT energy (no corrections), eV per atom: -3.934

Structure (POSCAR):
```
ScAgBr2
1.0
1.780 1.027 10.377
-1.780 1.027 10.377
0.000 -2.055 10.377
Sc Ag Br
1 1 2
direct
0.000 0.000 0.000
0.500 0.500 0.500
0.277 0.277 0.277
0.723 0.723 0.723
```

=====

# 8
ScAgBr2 after structural relaxation, computed with PBE-GGA.

Summary:
Total DFT energy (no corrections), eV per atom: -3.826

Structure (POSCAR):
```
ScAgBr2
1.0
3.305 0.000 0.000
0.000 3.305 0.000
0.000 0.000 10.727
Sc Ag Br
1 1 2
direct
0.000 0.000 0.000
0.000 0.000 0.500
0.500 0.500 0.154
0.500 0.500 0.846
```